(1)
Density functional theory data (PBE) for an optimized crystal structure of La8Zn2Rh.

POSCAR file:
```
La8Zn2Rh
1.0
9.245 -2.639 0.000
9.245 2.639 0.000
-1.226 0.000 6.875
La Zn Rh
8 2 1
direct
0.026 0.026 0.286
0.202 0.202 0.810
0.345 0.345 0.545
0.410 0.410 0.063
0.590 0.590 0.937
0.655 0.655 0.455
0.798 0.798 0.190
0.974 0.974 0.714
0.195 0.195 0.243
0.805 0.805 0.757
0.500 0.500 0.500
```

Summary:
- VASP energy (eV per atom) = -4.719
- energy of formation (eV/atom) = -0.24
- mass density (g/cm3) = 6.66
- space group = No. 12
- D(E_F) (states/eV per cell) = 12.7

(2)
Density functional theory data (PBE) for an optimized crystal structure of TaRe2B.

POSCAR file:
```
TaRe2B
1.0
1.491 -8.891 0.000
1.491 8.891 0.000
0.000 0.000 4.238
Ta Re B
2 4 2
direct
0.115 0.885 0.750
0.885 0.115 0.250
0.250 0.750 0.250
0.463 0.537 0.750
0.537 0.463 0.250
0.750 0.250 0.750
0.342 0.658 0.750
0.658 0.342 0.250
```

Summary:
- VASP energy (eV per atom) = -10.761
- energy of formation (eV/atom) = 0.10
- mass density (g/cm3) = 16.68
- space group = No. 63
- D(E_F) (states/eV per cell) = 7.9

(3)
Density functional theory data (PBE) for an optimized crystal structure of Tm2MgIr2.

POSCAR file:
```
Tm2MgIr2
1.0
5.090 -2.683 0.000
5.090 2.683 0.000
-2.568 0.000 7.612
Tm Mg Ir
4 2 4
direct
0.009 0.699 0.852
0.301 0.991 0.648
0.699 0.009 0.352
0.991 0.301 0.148
0.357 0.643 0.250
0.643 0.357 0.750
0.206 0.517 0.484
0.483 0.794 0.016
0.517 0.206 0.984
0.794 0.483 0.516
```

Summary:
- VASP energy (eV per atom) = -6.419
- energy of formation (eV/atom) = -0.77
- mass density (g/cm3) = 11.93
- space group = No. 15
- D(E_F) (states/eV per cell) = 3.3

(4)
Density functional theory data (PBE) for an optimized crystal structure of Mn2CoAg.

POSCAR file:
```
Mn2CoAg
1.0
4.821 -1.557 0.000
4.821 1.557 0.000
-1.838 0.000 3.823
Mn Co Ag
2 1 1
direct
0.000 0.000 0.000
0.234 0.234 0.731
0.514 0.514 0.516
0.761 0.761 0.258
```

Summary:
- VASP energy (eV per atom) = -6.727
- energy of formation (eV/atom) = 0.35
- mass density (g/cm3) = 8.01
- space group = No. 8
- D(E_F) (states/eV per cell) = 2.6

(5)
Density functional theory data (PBE) for an optimized crystal structure of Pr3Y2Tm8.

POSCAR file:
```
Pr3Y2Tm8
1.0
6.162 0.000 0.000
1.032 6.076 0.000
2.061 -0.335 11.031
Pr Y Tm
3 2 8
direct
0.000 0.000 0.000
0.231 0.462 0.080
0.769 0.538 0.920
0.383 0.770 0.462
0.617 0.230 0.538
0.077 0.153 0.689
0.153 0.308 0.386
0.308 0.613 0.765
0.463 0.925 0.158
0.537 0.075 0.842
0.692 0.387 0.235
0.847 0.692 0.614
0.923 0.847 0.311
```

Summary:
- VASP energy (eV per atom) = -4.820
- energy of formation (eV/atom) = 0.03
- mass density (g/cm3) = 7.85
- space group = No. 2
- D(E_F) (states/eV per cell) = 19.7

(6)
Density functional theory data (PBE) for an optimized crystal structure of Cs2Rb3Na.

POSCAR file:
```
Cs2Rb3Na
1.0
13.214 -4.257 0.000
13.214 4.257 0.000
-1.993 0.000 9.986
Cs Rb Na
4 6 2
direct
0.198 0.200 0.098
0.200 0.198 0.598
0.800 0.802 0.402
0.802 0.800 0.902
0.001 0.999 0.250
0.381 0.383 0.440
0.383 0.381 0.940
0.617 0.619 0.060
0.619 0.617 0.560
0.999 0.001 0.750
0.500 0.500 0.250
0.500 0.500 0.750
```

Summary:
- VASP energy (eV per atom) = -0.927
- energy of formation (eV/atom) = 0.06
- mass density (g/cm3) = 1.61
- space group = No. 15
- D(E_F) (states/eV per cell) = 11.9

Repeat the sixth record exactly.
Density functional theory data (PBE) for an optimized crystal structure of Cs2Rb3Na.

POSCAR file:
```
Cs2Rb3Na
1.0
13.214 -4.257 0.000
13.214 4.257 0.000
-1.993 0.000 9.986
Cs Rb Na
4 6 2
direct
0.198 0.200 0.098
0.200 0.198 0.598
0.800 0.802 0.402
0.802 0.800 0.902
0.001 0.999 0.250
0.381 0.383 0.440
0.383 0.381 0.940
0.617 0.619 0.060
0.619 0.617 0.560
0.999 0.001 0.750
0.500 0.500 0.250
0.500 0.500 0.750
```

Summary:
- VASP energy (eV per atom) = -0.927
- energy of formation (eV/atom) = 0.06
- mass density (g/cm3) = 1.61
- space group = No. 15
- D(E_F) (states/eV per cell) = 11.9

Q: Which value of energy of formation does entry 3 give?
A: -0.77 eV/atom

Q: mass density of number 1 (La8Zn2Rh)?
A: 6.66 g/cm3

Q: energy of formation of number 4 (Mn2CoAg)?
A: 0.35 eV/atom